Computed, not measured: a relaxed Li3NiPCO7 crystal at the PBE with a Hubbard U level of DFT.

## Properties
The density of states at the Fermi level is 0.00 states/eV per cell. As for the symmetry: P2_1 (4). For the raw total energy, the calculation gives -165.6 eV per cell.

Lattice parameters (Å, degrees): 4.8583 6.5402 8.5785 90.00 87.38 90.00
Each line ends with the local moment (μB).
Fractional coordinates of all 26 atoms:
O 0.3666 0.3046 0.5785  0.02
O 0.9243 0.1348 0.0562  0.02
O 0.7773 0.0965 0.6629  0.00
O 0.3151 0.2900 0.1275  -0.01
P 0.3119 0.7852 0.4291  0.00
O 0.6334 0.8046 0.4215  0.02
Li 0.6533 0.0953 0.8876  0.00
O 0.7474 0.7243 0.1247  0.01
Li 0.1758 0.0627 0.6858  0.00
O 0.2227 0.5965 0.3371  0.00
O 0.2526 0.2243 0.8753  0.01
Li 0.8242 0.5627 0.3142  0.00
C 0.8359 0.7178 0.9766  0.00
O 0.1923 0.9789 0.3537  0.04
P 0.6881 0.2852 0.5709  0.00
O 0.0757 0.6348 0.9438  0.02
Li 0.7634 0.7867 0.6409  0.00
O 0.8077 0.4789 0.6463  0.04
O 0.7800 0.2730 0.3932  0.03
O 0.2200 0.7730 0.6068  0.03
Ni 0.8155 0.0006 0.2637  1.79
Li 0.3467 0.5953 0.1124  0.00
Ni 0.1845 0.5006 0.7363  1.79
Li 0.2366 0.2867 0.3591  0.00
C 0.1641 0.2178 0.0234  0.00
O 0.6849 0.7900 0.8725  -0.01